[1]
# Ac6Ir3Se2I

A relaxed Ac6Ir3Se2I crystal (PBE, Alexandria via LeMat-Bulk).

Calculated values
Calculated volume in A^3/atom: 32.5
Raw formation energy in eV per atom: -1.170
Energy in eV/atom: -6.149

The structure in POSCAR format:
```
Ac6Ir3Se2I
1.0
10.081 -2.179 0.000
10.081 2.179 0.000
-3.022 0.000 8.873
Ac Ir Se I
6 3 2 1
direct
0.008 0.008 0.216
0.319 0.319 0.432
0.338 0.338 0.903
0.662 0.662 0.097
0.681 0.681 0.568
0.992 0.992 0.784
0.166 0.166 0.329
0.500 0.500 0.000
0.834 0.834 0.671
0.164 0.164 0.826
0.836 0.836 0.174
0.500 0.500 0.500
```

[2]
# ZrTi2Cd

A relaxed ZrTi2Cd crystal (PBE, Alexandria via LeMat-Bulk).

Calculated values
Calculated volume in A^3/atom: 19.3
Energy relative to the elements in kJ/mol of atoms: 2
Energy in eV/atom: -6.291

The structure in POSCAR format:
```
ZrTi2Cd
1.0
4.286 0.000 0.000
0.000 4.286 0.000
0.000 0.000 4.206
Zr Ti Cd
1 2 1
direct
0.000 0.000 0.000
0.000 0.500 0.500
0.500 0.000 0.500
0.500 0.500 0.000
```

[3]
# ScTiRh2

A relaxed ScTiRh2 crystal (PBE, Alexandria via LeMat-Bulk).

Calculated values
Calculated volume in A^3/atom: 15.9
Energy relative to the elements in kJ/mol of atoms: -85
Energy in eV/atom: -8.109

The structure in POSCAR format:
```
ScTiRh2
1.0
3.114 0.000 0.000
0.000 3.114 0.000
0.000 0.000 6.577
Sc Ti Rh
1 1 2
direct
0.000 0.000 0.000
0.000 0.000 0.500
0.500 0.500 0.267
0.500 0.500 0.733
```

[4]
# Ga2Ni7Pt2

A relaxed Ga2Ni7Pt2 crystal (PBE, Alexandria via LeMat-Bulk).

Calculated values
Calculated volume in A^3/atom: 14.4
Energy relative to the elements in kJ/mol of atoms: 20
Energy in eV/atom: -5.118

The structure in POSCAR format:
```
Ga2Ni7Pt2
1.0
3.574 -4.218 0.000
3.574 4.218 0.000
0.000 0.000 5.263
Ga Ni Pt
2 7 2
direct
0.218 0.782 0.000
0.782 0.218 0.000
0.000 0.000 0.276
0.000 0.000 0.724
0.000 0.500 0.271
0.000 0.500 0.729
0.500 0.000 0.271
0.500 0.000 0.729
0.500 0.500 0.000
0.322 0.322 0.500
0.678 0.678 0.500
```

[5]
# YBN2

A relaxed YBN2 crystal (PBE, Alexandria via LeMat-Bulk).

Calculated values
Calculated volume in A^3/atom: 11.6
Raw formation energy in eV per atom: -0.831
Energy in eV/atom: -8.279

The structure in POSCAR format:
```
YBN2
1.0
10.594 0.000 0.000
0.000 2.871 0.000
0.000 0.000 6.084
Y B N
4 4 8
direct
0.107 0.250 0.178
0.393 0.750 0.678
0.607 0.250 0.322
0.893 0.750 0.822
0.126 0.250 0.626
0.374 0.750 0.126
0.626 0.250 0.874
0.874 0.750 0.374
0.053 0.250 0.818
0.165 0.750 0.515
0.335 0.250 0.015
0.447 0.750 0.318
0.553 0.250 0.682
0.665 0.750 0.985
0.835 0.250 0.485
0.947 0.750 0.182
```

[6]
# TlAsPd3

A relaxed TlAsPd3 crystal (PBE, Alexandria via LeMat-Bulk).

Calculated values
Calculated volume in A^3/atom: 25.1
Energy relative to the elements in kJ/mol of atoms: 91
Energy above the most stable polymorph in this dataset in meV per atom: 1179
Energy in eV/atom: -3.577

The structure in POSCAR format:
```
TlAsPd3
1.0
5.005 0.000 0.000
0.000 5.005 0.000
0.000 0.000 5.005
Tl As Pd
1 1 3
direct
0.000 0.000 0.000
0.500 0.500 0.500
0.000 0.000 0.500
0.000 0.500 0.000
0.500 0.000 0.000
```